[1]
This record from Alexandria describes a relaxed Ce2Pu3Ru2 crystal. The functional is PBE-GGA.

Summary:
**Space-group type**: C2/m
**E_tot**: -10.578 eV/atom
**Total magnetic moment**: 0.61 Bohr magnetons per cell
**Crystal system**: monoclinic
**D(E_F)**: 15.13 states/eV per cell

a b c (Å): 4.9361 6.0538 5.6126
angles (deg): 106.91 90.00 114.06
Closest atoms and distances in Å follow each position.
Positions (direct):
Pu: 0.4018 0.8037 0.5364  2 Pu 2.33-2.48
Pu: 0.5000 0.0000 0.0000  2 Pu 2.48
Pu: 0.5982 0.1963 0.4636  2 Pu 2.33-2.48
Ru: 0.8385 0.6770 0.7734  1 Ce 2.47, 1 Pu 2.67
Ru: 0.1615 0.3230 0.2266  1 Ce 2.47, 1 Pu 2.67
Ce: 0.1435 0.2870 0.7768  1 Ru 2.47
Ce: 0.8565 0.7130 0.2232  1 Ru 2.47

[2]
This record from Alexandria describes a relaxed Ce2PuSi2Ru5 crystal. The functional is PBE-GGA.

Summary:
**Space-group type**: P4/mbm
**E_tot**: -8.871 eV/atom
**Total magnetic moment**: 9.28 Bohr magnetons per cell
**Crystal system**: tetragonal
**Formation energy (no corrections)**: -51.0 kJ per mole of atoms
**D(E_F)**: 25.77 states/eV per cell

a b c (Å): 3.4480 10.1066 10.1066
angles (deg): 90.00 90.00 90.00
Closest atoms and distances in Å follow each position.
Positions (direct):
Pu: 0.0000 0.0000 0.0000  8 Ru 2.87
Pu: 0.0000 0.5000 0.5000  8 Ru 2.87
Si: 0.0000 0.8768 0.3768  6 Ru 2.43-2.46
Si: 0.0000 0.6232 0.8768  6 Ru 2.43-2.46
Si: 0.0000 0.3768 0.1232  6 Ru 2.43-2.46
Si: 0.0000 0.1232 0.6232  6 Ru 2.43-2.46
Ru: 0.5000 0.5000 0.0000  4 Si 2.46
Ru: 0.5000 0.9297 0.2161  2 Si 2.43
Ru: 0.5000 0.7161 0.4297  2 Si 2.43
Ru: 0.5000 0.0000 0.5000  4 Si 2.46
Ru: 0.5000 0.4297 0.2839  2 Si 2.43
Ru: 0.5000 0.2161 0.0703  2 Si 2.43
Ru: 0.5000 0.7839 0.9297  2 Si 2.43
Ru: 0.5000 0.0703 0.7839  2 Si 2.43
Ru: 0.5000 0.5703 0.7161  2 Si 2.43
Ru: 0.5000 0.2839 0.5703  2 Si 2.43
Ce: 0.0000 0.1735 0.3265  3 Si 2.91-3.04, 10 Ru 3.02-3.21
Ce: 0.0000 0.3265 0.8265  3 Si 2.91-3.04, 10 Ru 3.02-3.21
Ce: 0.0000 0.6735 0.1735  3 Si 2.91-3.04, 10 Ru 3.02-3.21
Ce: 0.0000 0.8265 0.6735  3 Si 2.91-3.04, 10 Ru 3.02-3.21

[3]
This record from Alexandria describes a relaxed CePuSnRu crystal. The functional is PBE-GGA.

Summary:
**Space-group type**: F-43m
**E_tot**: -8.672 eV/atom
**Total magnetic moment**: 6.03 Bohr magnetons per cell
**Crystal system**: cubic
**D(E_F)**: 7.43 states/eV per cell

a b c (Å): 4.9451 4.9451 4.9451
angles (deg): 60.00 60.00 60.00
Closest atoms and distances in Å follow each position.
Positions (direct):
Sn: 0.5000 0.5000 0.5000  4 Ru 3.03, 4 Pu 3.03
Ce: 0.0000 0.0000 0.0000  4 Pu 3.03, 4 Ru 3.03
Ru: 0.2500 0.2500 0.2500  4 Ce 3.03, 4 Sn 3.03
Pu: 0.7500 0.7500 0.7500  4 Sn 3.03, 4 Ce 3.03